Record 1
Here is crystalline Cs2LiCu2I7 at its relaxed geometry from the Alexandria database. Energies are from PBE-GGA.

- SG = C2/m (12)
- formation energy (no corrections) (eV/f.u.) = -8.12
- crystal system = monoclinic

a = 6.4547 Å, b = 6.4547 Å, c = 14.2154 Å
α = 100.68°, β = 100.68°, γ = 81.72°
Fractional positions:
Cs (0.2402, 0.2402, 0.1513)
Cs (0.7598, 0.7598, 0.8487)
Li (0.5000, 0.5000, 0.5000)
Cu (0.0340, 0.0340, 0.6895)
Cu (0.9660, 0.9660, 0.3105)
I (0.0000, 0.0000, 0.5000)
I (0.1782, 0.1782, 0.8715)
I (0.2390, 0.6552, 0.6662)
I (0.3448, 0.7610, 0.3338)
I (0.6552, 0.2390, 0.6662)
I (0.7610, 0.3448, 0.3338)
I (0.8218, 0.8218, 0.1285)

Record 2
Here is crystalline TbYZnGe at its relaxed geometry from the Alexandria database. Energies are from PBE-GGA.

- energy relative to the elements (kcal/mol of atoms) = -12.5
- SG = F-43m (216)
- ΔE to the lowest computed polymorph (meV/atom) = 95.8
- crystal system = cubic

a = 5.0355 Å, b = 5.0355 Å, c = 5.0355 Å
α = 60.00°, β = 60.00°, γ = 60.00°
Fractional positions:
Tb (0.0000, 0.0000, 0.0000)
Y (0.5000, 0.5000, 0.5000)
Zn (0.2500, 0.2500, 0.2500)
Ge (0.7500, 0.7500, 0.7500)

Record 3
Here is crystalline Li2CaEr2In2 at its relaxed geometry from the Alexandria database. Energies are from PBE-GGA.

- energy relative to the elements (kcal/mol of atoms) = -4.8
- SG = R-3m (166)
- crystal system = trigonal

a = 9.4001 Å, b = 9.4001 Å, c = 9.4001 Å
α = 30.31°, β = 30.31°, γ = 30.31°
Fractional positions:
Li (0.0991, 0.0991, 0.0991)
Li (0.9009, 0.9009, 0.9009)
Ca (0.5000, 0.5000, 0.5000)
Er (0.3700, 0.3700, 0.3700)
Er (0.6300, 0.6300, 0.6300)
In (0.2459, 0.2459, 0.2459)
In (0.7541, 0.7541, 0.7541)